Computed, not measured: a relaxed structure of YAl2MoW at the PBE-GGA level of DFT.

The structure in CIF format:
```
data_YAl2MoW
_symmetry_space_group_name_H-M 'P 4/m m m'
_symmetry_Int_Tables_number 123
_symmetry_space_group_name_Hall '-P 4 2'
_cell_length_a 4.813
_cell_length_b 4.813
_cell_length_c 4.789
_cell_angle_alpha 90.00
_cell_angle_beta 90.00
_cell_angle_gamma 90.00
loop_
_atom_site_label
_atom_site_type_symbol
_atom_site_fract_x
_atom_site_fract_y
_atom_site_fract_z
Y1 Y 0.000 0.000 0.000
Al1 Al 0.000 0.500 0.500
Mo1 Mo 0.500 0.500 0.500
W1 W 0.500 0.500 0.000
```

Output
The value obtained for the uncorrected energy is -6.9823 eV per atom.



Computed, not measured: a relaxed structure of Y4AlMo at the PBE-GGA level of DFT.

The structure in CIF format:
```
data_Y4AlMo
_symmetry_space_group_name_H-M 'F -4 3 m'
_symmetry_Int_Tables_number 216
_symmetry_space_group_name_Hall 'F -4 2 3'
_cell_length_a 8.534
_cell_length_b 8.534
_cell_length_c 8.534
_cell_angle_alpha 90.00
_cell_angle_beta 90.00
_cell_angle_gamma 90.00
loop_
_atom_site_label
_atom_site_type_symbol
_atom_site_fract_x
_atom_site_fract_y
_atom_site_fract_z
Y1 Y 0.124 0.124 0.376
Al1 Al 0.000 0.000 0.000
Mo1 Mo 0.250 0.250 0.750
```

Output
The value obtained for the uncorrected energy is -5.9559 eV per atom.



Computed, not measured: a relaxed structure of YAl2Mo at the PBE-GGA level of DFT.

The structure in CIF format:
```
data_YAl2Mo
_symmetry_space_group_name_H-M 'A m m 2'
_symmetry_Int_Tables_number 38
_symmetry_space_group_name_Hall 'A 2 -2'
_cell_length_a 4.041
_cell_length_b 3.500
_cell_length_c 10.915
_cell_angle_alpha 90.00
_cell_angle_beta 90.00
_cell_angle_gamma 90.00
loop_
_atom_site_label
_atom_site_type_symbol
_atom_site_fract_x
_atom_site_fract_y
_atom_site_fract_z
Y1 Y 0.000 0.000 0.000
Al1 Al 0.000 0.000 0.745
Al2 Al 0.500 0.000 0.608
Mo1 Mo 0.500 0.000 0.312
```

Output
As for the energy above the most stable polymorph in this dataset: 36 kJ/mol of formula units.



Computed, not measured: a relaxed structure of YAlMo3 at the PBE-GGA level of DFT.

The structure in CIF format:
```
data_YAlMo3
_symmetry_space_group_name_H-M 'P m -3 m'
_symmetry_Int_Tables_number 221
_symmetry_space_group_name_Hall '-P 4 2 3'
_cell_length_a 4.680
_cell_length_b 4.680
_cell_length_c 4.680
_cell_angle_alpha 90.00
_cell_angle_beta 90.00
_cell_angle_gamma 90.00
loop_
_atom_site_label
_atom_site_type_symbol
_atom_site_fract_x
_atom_site_fract_y
_atom_site_fract_z
Y1 Y 0.000 0.000 0.000
Al1 Al 0.500 0.500 0.500
Mo1 Mo 0.000 0.500 0.500
```

Output
As for the energy above the most stable polymorph in this dataset: 0 kJ/mol of formula units.



Computed, not measured: a relaxed structure of Y2AlMo at the PBE-GGA level of DFT.

The structure in CIF format:
```
data_Y2AlMo
_symmetry_space_group_name_H-M 'P 4 m m'
_symmetry_Int_Tables_number 99
_symmetry_space_group_name_Hall 'P 4 -2'
_cell_length_a 3.535
_cell_length_b 3.535
_cell_length_c 7.645
_cell_angle_alpha 90.00
_cell_angle_beta 90.00
_cell_angle_gamma 90.00
loop_
_atom_site_label
_atom_site_type_symbol
_atom_site_fract_x
_atom_site_fract_y
_atom_site_fract_z
Y1 Y 0.000 0.000 0.000
Y2 Y 0.500 0.500 0.378
Al1 Al 0.000 0.000 0.616
Mo1 Mo 0.500 0.500 0.747
```

Output
The value obtained for the uncorrected energy is -6.8686 eV per atom.



Computed, not measured: a relaxed structure of Y2AlMo at the PBE-GGA level of DFT.

The structure in CIF format:
```
data_Y2AlMo
_symmetry_space_group_name_H-M 'I -4 2 d'
_symmetry_Int_Tables_number 122
_symmetry_space_group_name_Hall 'I -4 2bw'
_cell_length_a 4.211
_cell_length_b 4.211
_cell_length_c 20.977
_cell_angle_alpha 90.00
_cell_angle_beta 90.00
_cell_angle_gamma 90.00
loop_
_atom_site_label
_atom_site_type_symbol
_atom_site_fract_x
_atom_site_fract_y
_atom_site_fract_z
Y1 Y 0.240 0.250 0.125
Al1 Al 0.000 0.000 0.500
Mo1 Mo 0.000 0.000 0.000
```

Output
The value obtained for the uncorrected energy is -6.1809 eV per atom.



Computed, not measured: a relaxed structure of YAlMo4 at the PBE-GGA level of DFT.

The structure in CIF format:
```
data_YAlMo4
_symmetry_space_group_name_H-M 'F -4 3 m'
_symmetry_Int_Tables_number 216
_symmetry_space_group_name_Hall 'F -4 2 3'
_cell_length_a 7.606
_cell_length_b 7.606
_cell_length_c 7.606
_cell_angle_alpha 90.00
_cell_angle_beta 90.00
_cell_angle_gamma 90.00
loop_
_atom_site_label
_atom_site_type_symbol
_atom_site_fract_x
_atom_site_fract_y
_atom_site_fract_z
Y1 Y 0.000 0.000 0.000
Al1 Al 0.250 0.250 0.750
Mo1 Mo 0.124 0.124 0.376
```

Output
The value obtained for the uncorrected energy is -8.7798 eV per atom.



Computed, not measured: a relaxed structure of Y2AlMo at the PBE-GGA level of DFT.

The structure in CIF format:
```
data_Y2AlMo
_symmetry_space_group_name_H-M 'F -4 3 m'
_symmetry_Int_Tables_number 216
_symmetry_space_group_name_Hall 'F -4 2 3'
_cell_length_a 7.020
_cell_length_b 7.020
_cell_length_c 7.020
_cell_angle_alpha 90.00
_cell_angle_beta 90.00
_cell_angle_gamma 90.00
loop_
_atom_site_label
_atom_site_type_symbol
_atom_site_fract_x
_atom_site_fract_y
_atom_site_fract_z
Y1 Y 0.000 0.000 0.000
Y2 Y 0.250 0.250 0.250
Al1 Al 0.000 0.000 0.500
Mo1 Mo 0.250 0.250 0.750
```

Output
The value obtained for the uncorrected energy is -6.6779 eV per atom.



Computed, not measured: a relaxed structure of YAl2Mo at the PBE-GGA level of DFT.

The structure in CIF format:
```
data_YAl2Mo
_symmetry_space_group_name_H-M 'P m m m'
_symmetry_Int_Tables_number 47
_symmetry_space_group_name_Hall '-P 2 2'
_cell_length_a 4.143
_cell_length_b 4.219
_cell_length_c 4.334
_cell_angle_alpha 90.00
_cell_angle_beta 90.00
_cell_angle_gamma 90.00
loop_
_atom_site_label
_atom_site_type_symbol
_atom_site_fract_x
_atom_site_fract_y
_atom_site_fract_z
Y1 Y 0.000 0.000 0.000
Al1 Al 0.000 0.500 0.500
Al2 Al 0.500 0.000 0.500
Mo1 Mo 0.500 0.500 0.000
```

Output
As for the energy above the most stable polymorph in this dataset: 65 kJ/mol of formula units.



Computed, not measured: a relaxed structure of YAl3Mo at the PBE-GGA level of DFT.

The structure in CIF format:
```
data_YAl3Mo
_symmetry_space_group_name_H-M 'P m -3 m'
_symmetry_Int_Tables_number 221
_symmetry_space_group_name_Hall '-P 4 2 3'
_cell_length_a 5.304
_cell_length_b 5.304
_cell_length_c 5.304
_cell_angle_alpha 90.00
_cell_angle_beta 90.00
_cell_angle_gamma 90.00
loop_
_atom_site_label
_atom_site_type_symbol
_atom_site_fract_x
_atom_site_fract_y
_atom_site_fract_z
Y1 Y 0.000 0.000 0.000
Al1 Al 0.000 0.000 0.500
Mo1 Mo 0.500 0.500 0.500
```

Output
As for the energy above the most stable polymorph in this dataset: 838 kJ/mol of formula units.



Computed, not measured: a relaxed structure of YAlMo3 at the PBE-GGA level of DFT.

The structure in CIF format:
```
data_YAlMo3
_symmetry_space_group_name_H-M 'P m -3 m'
_symmetry_Int_Tables_number 221
_symmetry_space_group_name_Hall '-P 4 2 3'
_cell_length_a 4.807
_cell_length_b 4.807
_cell_length_c 4.807
_cell_angle_alpha 90.00
_cell_angle_beta 90.00
_cell_angle_gamma 90.00
loop_
_atom_site_label
_atom_site_type_symbol
_atom_site_fract_x
_atom_site_fract_y
_atom_site_fract_z
Y1 Y 0.000 0.000 0.000
Al1 Al 0.500 0.500 0.500
Mo1 Mo 0.000 0.000 0.500
```

Output
As for the energy above the most stable polymorph in this dataset: 625 kJ/mol of formula units.



Computed, not measured: a relaxed structure of Y2AlMo at the PBE-GGA level of DFT.

The structure in CIF format:
```
data_Y2AlMo
_symmetry_space_group_name_H-M 'R 3 m'
_symmetry_Int_Tables_number 160
_symmetry_space_group_name_Hall 'R 3 -2"'
_cell_length_a 3.4742
_cell_length_b 3.4742
_cell_length_c 27.9563
_cell_angle_alpha 90.00
_cell_angle_beta 90.00
_cell_angle_gamma 120.00
loop_
_atom_site_label
_atom_site_type_symbol
_atom_site_fract_x
_atom_site_fract_y
_atom_site_fract_z
Y1 Y 0.0000 0.0000 0.0000
Y2 Y 0.0000 0.0000 0.2184
Al1 Al 0.0000 0.0000 0.4696
Mo1 Mo 0.0000 0.0000 0.7448
```

Output
The value obtained for the uncorrected energy is -6.6115 eV per atom.



Computed, not measured: a relaxed structure of Y2AlMo at the PBE-GGA level of DFT.

The structure in CIF format:
```
data_Y2AlMo
_symmetry_space_group_name_H-M 'R -3 m'
_symmetry_Int_Tables_number 166
_symmetry_space_group_name_Hall '-R 3 2"'
_cell_length_a 3.3768
_cell_length_b 3.3768
_cell_length_c 28.9012
_cell_angle_alpha 90.00
_cell_angle_beta 90.00
_cell_angle_gamma 120.00
loop_
_atom_site_label
_atom_site_type_symbol
_atom_site_fract_x
_atom_site_fract_y
_atom_site_fract_z
Y1 Y 0.0000 0.0000 0.2451
Al1 Al 0.0000 0.0000 0.0000
Mo1 Mo 0.0000 0.0000 0.5000
```

Output
The value obtained for the uncorrected energy is -6.5771 eV per atom.



Computed, not measured: a relaxed structure of Y2AlMo at the PBE-GGA level of DFT.

The structure in CIF format:
```
data_Y2AlMo
_symmetry_space_group_name_H-M 'P m m m'
_symmetry_Int_Tables_number 47
_symmetry_space_group_name_Hall '-P 2 2'
_cell_length_a 3.289
_cell_length_b 3.909
_cell_length_c 7.072
_cell_angle_alpha 90.00
_cell_angle_beta 90.00
_cell_angle_gamma 90.00
loop_
_atom_site_label
_atom_site_type_symbol
_atom_site_fract_x
_atom_site_fract_y
_atom_site_fract_z
Y1 Y 0.000 0.000 0.243
Al1 Al 0.500 0.500 0.500
Mo1 Mo 0.500 0.500 0.000
```

Output
The value obtained for the uncorrected energy is -6.7990 eV per atom.